# 1
Crystalline NaCd2In5Pb at its relaxed geometry, computed with PBE-GGA.

Structure (extended XYZ):
```
18
Lattice="7.150 0.000 0.000 0.000 8.443 0.000 0.000 0.000 8.443" Properties=species:S:1:pos:R:3 pbc="T T T"
In 5.482 2.456 1.766
In 1.668 1.766 5.987
In 5.482 5.987 6.677
In 5.482 1.766 5.987
In 1.668 5.987 6.677
In 5.482 6.677 2.456
In 1.668 2.456 1.766
In 3.575 4.222 4.222
In 3.575 0.000 0.000
In 1.668 6.677 2.456
Cd 3.575 5.178 0.956
Cd 3.575 0.956 3.265
Cd 3.575 7.487 5.178
Cd 3.575 3.265 7.487
Pb 0.000 4.222 4.222
Pb 0.000 0.000 0.000
Na 0.000 0.000 4.222
Na 0.000 4.222 0.000
```

Calculated values
* E_tot: -2.2283 eV/atom
* space group: P4/mbm (127)
* DFT formation energy: 0.055 eV per atom
* total moment: 0.000 μB/atom

# 2
Crystalline Pm3Cu2Ge6Ir at its relaxed geometry, computed with PBE-GGA.

Structure (extended XYZ):
```
12
Lattice="6.023 0.000 0.000 -3.012 5.216 0.000 0.000 0.000 7.948" Properties=species:S:1:pos:R:3 pbc="T T T"
Cu 0.000 3.478 0.173
Cu 3.012 1.739 7.775
Ir 0.000 0.000 3.974
Pm 0.000 3.478 5.030
Pm 3.012 1.739 2.918
Pm 0.000 0.000 0.000
Ge 4.332 0.976 5.658
Ge 0.000 1.953 2.290
Ge 1.320 4.240 2.290
Ge -1.320 4.240 2.290
Ge 3.012 3.264 5.658
Ge 1.691 0.976 5.658
```

Calculated values
* E_tot: -5.2330 eV/atom
* space group: P-3m1 (164)
* DFT formation energy: -0.316 eV per atom
* total moment: 0.000 μB/atom

Respective volume values: 509.7; 249.7 Å³/cell.